Hf2PdRh2 (PBE, relaxed); relative energy among the computed polymorphs = 0 meV per atom
1.0
7.384 0.000 0.000
0.000 7.384 0.000
0.000 0.000 3.212
Rh Hf Pd
4 4 2
Direct
0.366 0.866 0.000 Rh
0.866 0.634 0.000 Rh
0.634 0.134 0.000 Rh
0.134 0.366 0.000 Rh
0.168 0.668 0.500 Hf
0.668 0.832 0.500 Hf
0.832 0.332 0.500 Hf
0.332 0.168 0.500 Hf
0.000 0.000 0.000 Pd
0.500 0.500 0.000 Pd

Hf2Pd2Rh (PBE, relaxed); relative energy among the computed polymorphs = 119 meV per atom
1.0
7.354 0.000 0.000
0.000 7.354 0.000
0.000 0.000 3.291
Rh Hf Pd
2 4 4
Direct
0.000 0.000 0.000 Rh
0.500 0.500 0.000 Rh
0.177 0.677 0.500 Hf
0.677 0.823 0.500 Hf
0.823 0.323 0.500 Hf
0.323 0.177 0.500 Hf
0.372 0.872 0.000 Pd
0.872 0.628 0.000 Pd
0.628 0.128 0.000 Pd
0.128 0.372 0.000 Pd

This record from the Alexandria database describes crystalline HfPd4Rh at its relaxed geometry. The functional is PBE.

Geometry as POSCAR:
```
HfPd4Rh
1.0
-1.517 -1.879 -1.594
4.197 -2.004 0.994
-5.959 -0.317 6.044
Hf Pd Rh
1 4 1
Direct
0.000 0.500 0.500 Hf
0.803 0.106 0.669 Pd
0.197 0.894 0.331 Pd
0.848 0.196 0.154 Pd
0.152 0.804 0.846 Pd
0.500 0.500 0.000 Rh
```

HfPd3Rh (PBE, relaxed); relative energy among the computed polymorphs = 0 meV per atom
1.0
4.772 0.000 0.000
0.000 4.772 0.000
0.000 0.000 4.772
Rh Hf Pd
1 1 3
Direct
0.500 0.500 0.500 Rh
0.000 0.000 0.000 Hf
0.000 0.500 0.000 Pd
0.000 0.000 0.500 Pd
0.500 0.000 0.000 Pd

Number 1: formation enthalpy at 0 K -766.9 meV/atom. Number 2: formation enthalpy at 0 K -603.4 meV/atom. Number 3: formation enthalpy at 0 K -264.7 meV/atom. Number 4: formation enthalpy at 0 K 889.3 meV/atom.